CsYIn2: optimized geometry, PBE.

## Properties
Mass density ... 5.316 g cm⁻³
Energy of formation from the pure elements ... -215 meV per atom
Raw total energy ... -3.414 eV per atom
Polymorph energy (0 for the lowest one) ... 0.00 eV per formula unit

abc: 3.922 3.922 9.169
angles: 90.00 90.00 90.00
Space group P4/mmm (No. 123)
Unique sites:
Cs  0.000  0.000  0.000 x1
Y  0.000  0.000  0.500 x1
In  0.500  0.500  0.317 x2



SrY2Ni2: optimized geometry, PBE.

## Properties
Mass density ... 4.577 g cm⁻³
Energy of formation from the pure elements ... 23 meV per atom
Raw total energy ... -5.212 eV per atom
Polymorph energy (0 for the lowest one) ... 0.80 eV per formula unit

abc: 5.019 5.019 11.026
angles: 90.00 90.00 90.00
Space group I4/mmm (No. 139)
Unique sites:
Sr  0.000  0.000  0.000 x2
Y  0.000  0.000  0.334 x4
Ni  0.000  0.500  0.250 x4



Hf4GeB: optimized geometry, PBE.

## Properties
Mass density ... 10.545 g cm⁻³
Energy of formation from the pure elements ... -167 meV per atom
Raw total energy ... -8.685 eV per atom

abc: 8.191 8.191 7.485
angles: 90.00 90.00 90.00
Space group I4_1md (No. 109)
Unique sites:
Hf  0.000  0.287  0.000 x8
Hf  0.000  0.311  0.444 x8
Ge  0.000  0.000  0.486 x4
B  0.000  0.000  0.962 x4



SiRu2SF: optimized geometry, PBE.

## Properties
Mass density ... 6.321 g cm⁻³
Raw total energy ... -5.080 eV per atom

abc: 4.532 4.532 3.597
angles: 90.00 90.00 90.00
Space group P4/mmm (No. 123)
Unique sites:
Si  0.000  0.000  0.000 x1
Ru  0.000  0.500  0.500 x2
S  0.500  0.500  0.000 x1
F  0.000  0.000  0.500 x1



NaAlHg2: optimized geometry, PBE.

## Properties
Mass density ... 8.380 g cm⁻³
Energy of formation from the pure elements ... -28 meV per atom
Raw total energy ... -1.445 eV per atom

abc: 4.837 4.837 3.821
angles: 90.00 90.00 90.00
Space group P4/mmm (No. 123)
Unique sites:
Na  0.000  0.000  0.000 x1
Al  0.500  0.500  0.000 x1
Hg  0.000  0.500  0.500 x2



Pr6Nd4Y: optimized geometry, PBE.

## Properties
Mass density ... 6.239 g cm⁻³
Energy of formation from the pure elements ... 272 meV per atom
Raw total energy ... -4.657 eV per atom

abc: 6.876 6.876 17.016
angles: 90.00 90.00 90.00
Space group I-42m (No. 121)
Unique sites:
Pr  0.000  0.500  0.000 x4
Pr  0.188  0.188  0.179 x8
Nd  0.172  0.172  0.381 x8
Y  0.000  0.000  0.000 x2